# TbNd2In3AgPt2

TbNd2In3AgPt2 after structural relaxation (PBE, OQMD).

a b c (Å): 3.932 7.871 7.871
angles (deg): 119.83 90.00 90.00
Fractional coordinates of all 9 atoms:
Tb  0.000  0.000  0.000
Nd  0.000  0.413  0.826
Nd  0.000  0.826  0.413
In  0.500  0.149  0.411
In  0.500  0.411  0.149
In  0.500  0.678  0.678
Ag  0.000  0.411  0.411
Pt  0.500  0.078  0.752
Pt  0.500  0.752  0.078

## Properties
- total DFT energy (no corrections) (eV/atom) = -4.948
- M_tot (Bohr magnetons per cell) = 0.01
- SG = Amm2, No. 38